TaMnNbF2, optimized geometry, DFT GGA+U; E_tot = -6.42 eV per atom; total magnetization = 1.12 μB per cell
1.0
3.952 0.000 0.000
0.000 5.211 0.000
0.000 0.000 3.952
F Mn Ta Nb
2 1 1 1
Direct
0.500 0.000 0.000
0.000 0.000 0.500
0.000 0.500 0.000
0.000 0.000 0.000
0.500 0.500 0.500